Material: La3SmDy2Y6
Method: DFT, PBE
State: optimized geometry

Cell and atoms, written as POSCAR:
```
La3SmDy2Y6
1.0
3.135 -5.431 0.000
3.135 5.431 0.000
-2.086 0.000 11.726
La Sm Dy Y
3 1 2 6
Direct
0.000 0.000 0.000 La
0.333 0.667 0.000 La
0.667 0.333 0.000 La
0.500 0.500 0.500 Sm
0.167 0.833 0.500 Dy
0.833 0.167 0.500 Dy
0.085 0.418 0.255 Y
0.248 0.248 0.745 Y
0.418 0.085 0.255 Y
0.582 0.915 0.745 Y
0.752 0.752 0.255 Y
0.915 0.582 0.745 Y
```

Summary:
Energy relative to the elements ... 0.02 eV per atom
Density of states at the Fermi level ... 16.54 states/eV per cell

Material: Pm4Cd5In2
Method: DFT, PBE
State: optimized geometry

Cell and atoms, written as POSCAR:
```
Pm4Cd5In2
1.0
8.023 0.000 0.000
0.000 3.629 0.000
-1.019 0.000 10.325
Pm Cd In
4 5 2
Direct
0.170 0.000 0.389 Pm
0.278 0.000 0.940 Pm
0.722 0.000 0.060 Pm
0.830 0.000 0.611 Pm
0.192 0.500 0.663 Cd
0.441 0.500 0.208 Cd
0.500 0.500 0.500 Cd
0.559 0.500 0.792 Cd
0.808 0.500 0.337 Cd
0.064 0.500 0.137 In
0.936 0.500 0.863 In
```

Summary:
Energy relative to the elements ... -0.30 eV per atom
Density of states at the Fermi level ... 10.10 states/eV per cell

Material: Mg7Ge2Au2
Method: DFT, PBE
State: optimized geometry

Cell and atoms, written as POSCAR:
```
Mg7Ge2Au2
1.0
3.350 -4.845 0.000
3.350 4.845 0.000
0.000 0.000 7.404
Mg Ge Au
7 2 2
Direct
0.000 0.000 0.000 Mg
0.000 0.500 0.291 Mg
0.000 0.500 0.709 Mg
0.500 0.000 0.291 Mg
0.500 0.000 0.709 Mg
0.500 0.500 0.228 Mg
0.500 0.500 0.772 Mg
0.192 0.192 0.500 Ge
0.808 0.808 0.500 Ge
0.281 0.719 0.000 Au
0.719 0.281 0.000 Au
```

Summary:
Energy relative to the elements ... -0.23 eV per atom
Density of states at the Fermi level ... 3.95 states/eV per cell

Material: BaSiSn3
Method: DFT, PBE
State: optimized geometry

Cell and atoms, written as POSCAR:
```
BaSiSn3
1.0
5.396 0.000 0.000
0.000 5.396 0.000
0.000 0.000 5.396
Ba Si Sn
1 1 3
Direct
0.000 0.000 0.000 Ba
0.500 0.500 0.500 Si
0.000 0.500 0.500 Sn
0.500 0.000 0.500 Sn
0.500 0.500 0.000 Sn
```

Summary:
Formation energy without anion corrections ... 10.5 meV/atom
E above lowest polymorph ... 0.00 eV/f.u.
Density of states at the Fermi level ... 3.65 states/eV per cell

Material: In2Pd2F
Method: DFT, PBE
State: optimized geometry

Cell and atoms, written as POSCAR:
```
In2Pd2F
1.0
7.577 0.000 0.000
0.000 7.577 0.000
0.000 0.000 3.238
In Pd F
4 4 2
Direct
0.176 0.324 0.000 In
0.324 0.824 0.000 In
0.676 0.176 0.000 In
0.824 0.676 0.000 In
0.125 0.625 0.500 Pd
0.375 0.125 0.500 Pd
0.625 0.875 0.500 Pd
0.875 0.375 0.500 Pd
0.000 0.000 0.000 F
0.500 0.500 0.000 F
```

Summary:
Formation energy without anion corrections ... -731.9 meV/atom
Density of states at the Fermi level ... 2.30 states/eV per cell

Material: Re3Sb
Method: DFT, PBE
State: optimized geometry

Cell and atoms, written as POSCAR:
```
Re3Sb
1.0
5.338 0.000 0.000
0.000 8.213 0.000
0.000 0.000 2.983
Re Sb
6 2
Direct
0.000 0.000 0.000 Re
0.250 0.250 0.500 Re
0.250 0.750 0.500 Re
0.500 0.500 0.000 Re
0.750 0.250 0.500 Re
0.750 0.750 0.500 Re
0.000 0.500 0.000 Sb
0.500 0.000 0.000 Sb
```

Summary:
Formation energy without anion corrections ... 644.0 meV/atom
E above lowest polymorph ... 0.91 eV/f.u.
Density of states at the Fermi level ... 6.13 states/eV per cell

Material: K2LiCaW
Method: DFT, PBE
State: optimized geometry

Cell and atoms, written as POSCAR:
```
K2LiCaW
1.0
6.934 0.000 0.000
0.000 6.934 0.000
0.000 0.000 5.666
K Li Ca W
2 1 1 1
Direct
0.000 0.500 0.000 K
0.500 0.000 0.000 K
0.000 0.000 0.500 Li
0.500 0.500 0.000 Ca
0.500 0.500 0.500 W
```

Summary:
Energy relative to the elements ... 1.60 eV per atom
Density of states at the Fermi level ... 10.66 states/eV per cell

Material: AcTbB
Method: DFT, PBE
State: optimized geometry

Cell and atoms, written as POSCAR:
```
AcTbB
1.0
13.834 0.000 0.000
0.000 3.345 0.000
-0.256 0.000 7.199
Ac Tb B
4 4 4
Direct
0.151 0.000 0.172 Ac
0.349 0.500 0.828 Ac
0.651 0.500 0.172 Ac
0.849 0.000 0.828 Ac
0.106 0.000 0.654 Tb
0.394 0.500 0.346 Tb
0.606 0.500 0.654 Tb
0.894 0.000 0.346 Tb
0.229 0.500 0.499 B
0.271 0.000 0.501 B
0.729 0.000 0.499 B
0.771 0.500 0.501 B
```

Summary:
Energy relative to the elements ... 0.04 eV per atom
Density of states at the Fermi level ... 14.59 states/eV per cell

Material: LiU2Tl3Te6
Method: DFT, PBE
State: optimized geometry

Cell and atoms, written as POSCAR:
```
LiU2Tl3Te6
1.0
3.836 -6.646 0.000
3.836 6.646 0.000
-2.536 0.000 8.159
Li U Tl Te
1 2 3 6
Direct
0.000 0.000 0.000 Li
0.333 0.667 0.000 U
0.667 0.333 0.000 U
0.165 0.835 0.500 Tl
0.500 0.500 0.500 Tl
0.835 0.165 0.500 Tl
0.071 0.412 0.213 Te
0.270 0.270 0.793 Te
0.412 0.071 0.213 Te
0.588 0.929 0.787 Te
0.730 0.730 0.207 Te
0.929 0.588 0.787 Te
```

Summary:
Formation energy without anion corrections ... -587.4 meV/atom
Density of states at the Fermi level ... 11.39 states/eV per cell

Material: Y4FeSi2
Method: DFT, PBE
State: optimized geometry

Cell and atoms, written as POSCAR:
```
Y4FeSi2
1.0
9.635 0.000 0.000
0.000 9.635 0.000
0.000 0.000 3.433
Y Fe Si
8 2 4
Direct
0.107 0.324 0.000 Y
0.176 0.607 0.500 Y
0.324 0.107 0.000 Y
0.393 0.824 0.500 Y
0.607 0.176 0.500 Y
0.676 0.893 0.000 Y
0.824 0.393 0.500 Y
0.893 0.676 0.000 Y
0.000 0.000 0.500 Fe
0.500 0.500 0.000 Fe
0.134 0.866 0.000 Si
0.366 0.366 0.500 Si
0.634 0.634 0.500 Si
0.866 0.134 0.000 Si
```

Summary:
Formation energy without anion corrections ... -26.4 meV/atom
Density of states at the Fermi level ... 13.61 states/eV per cell

Material: Pr3ZrSe6
Method: DFT, PBE
State: optimized geometry

Cell and atoms, written as POSCAR:
```
Pr3ZrSe6
1.0
5.807 -7.178 0.000
5.807 7.178 0.000
0.000 0.000 7.136
Pr Zr Se
6 2 12
Direct
0.094 0.906 0.500 Pr
0.227 0.417 0.410 Pr
0.417 0.227 0.910 Pr
0.583 0.773 0.410 Pr
0.773 0.583 0.910 Pr
0.906 0.094 0.000 Pr
0.304 0.696 0.872 Zr
0.696 0.304 0.372 Zr
0.065 0.600 0.692 Se
0.132 0.194 0.706 Se
0.194 0.132 0.206 Se
0.275 0.725 0.229 Se
0.400 0.935 0.692 Se
0.470 0.530 0.720 Se
0.530 0.470 0.220 Se
0.600 0.065 0.192 Se
0.725 0.275 0.729 Se
0.806 0.868 0.706 Se
0.868 0.806 0.206 Se
0.935 0.400 0.192 Se
```

Summary:
Formation energy without anion corrections ... -1642.2 meV/atom
Density of states at the Fermi level ... 10.35 states/eV per cell

Material: Th2TlTe4
Method: DFT, PBE
State: optimized geometry

Cell and atoms, written as POSCAR:
```
Th2TlTe4
1.0
2.262 -7.495 0.000
2.262 7.495 0.000
0.000 0.000 15.572
Th Tl Te
4 2 8
Direct
0.132 0.868 0.563 Th
0.132 0.868 0.937 Th
0.868 0.132 0.063 Th
0.868 0.132 0.437 Th
0.399 0.601 0.750 Tl
0.601 0.399 0.250 Tl
0.066 0.934 0.750 Te
0.231 0.769 0.116 Te
0.231 0.769 0.384 Te
0.500 0.500 0.000 Te
0.500 0.500 0.500 Te
0.769 0.231 0.616 Te
0.769 0.231 0.884 Te
0.934 0.066 0.250 Te
```

Summary:
Formation energy without anion corrections ... -974.4 meV/atom
E above lowest polymorph ... 0.00 eV/f.u.
Density of states at the Fermi level ... 4.12 states/eV per cell

Material: TlC2I
Method: DFT, PBE
State: optimized geometry

Cell and atoms, written as POSCAR:
```
TlC2I
1.0
6.524 0.000 0.000
0.000 6.524 0.000
0.000 0.000 6.524
Tl C I
4 8 4
Direct
0.000 0.000 0.000 Tl
0.000 0.500 0.500 Tl
0.500 0.000 0.500 Tl
0.500 0.500 0.000 Tl
0.250 0.250 0.250 C
0.250 0.250 0.750 C
0.250 0.750 0.250 C
0.250 0.750 0.750 C
0.750 0.250 0.250 C
0.750 0.250 0.750 C
0.750 0.750 0.250 C
0.750 0.750 0.750 C
0.000 0.000 0.500 I
0.000 0.500 0.000 I
0.500 0.000 0.000 I
0.500 0.500 0.500 I
```

Summary:
Formation energy without anion corrections ... 2836.6 meV/atom
E above lowest polymorph ... 2.23 eV/f.u.
Density of states at the Fermi level ... 13.80 states/eV per cell

Material: Nd2NpCdO8
Method: DFT, PBE
State: optimized geometry

Cell and atoms, written as POSCAR:
```
Nd2NpCdO8
1.0
4.025 0.000 0.000
0.603 5.337 0.000
0.005 0.012 7.919
Nd Np Cd O
2 1 1 8
Direct
0.000 0.001 0.252 Nd
0.000 0.999 0.748 Nd
0.500 0.500 0.500 Np
0.500 0.500 0.000 Cd
0.032 0.751 0.000 O
0.057 0.725 0.500 O
0.457 0.264 0.705 O
0.457 0.265 0.294 O
0.543 0.735 0.706 O
0.543 0.736 0.295 O
0.943 0.275 0.500 O
0.968 0.249 0.000 O
```

Summary:
Formation energy without anion corrections ... -2465.1 meV/atom
Density of states at the Fermi level ... 6.67 states/eV per cell

Material: HgIr2Ru
Method: DFT, PBE
State: optimized geometry

Cell and atoms, written as POSCAR:
```
HgIr2Ru
1.0
6.349 0.000 0.000
0.000 6.349 0.000
0.000 0.000 6.349
Hg Ir Ru
4 8 4
Direct
0.000 0.000 0.000 Hg
0.000 0.500 0.500 Hg
0.500 0.000 0.500 Hg
0.500 0.500 0.000 Hg
0.000 0.000 0.500 Ir
0.000 0.500 0.000 Ir
0.250 0.250 0.750 Ir
0.250 0.750 0.250 Ir
0.500 0.000 0.000 Ir
0.500 0.500 0.500 Ir
0.750 0.250 0.250 Ir
0.750 0.750 0.750 Ir
0.250 0.250 0.250 Ru
0.250 0.750 0.750 Ru
0.750 0.250 0.750 Ru
0.750 0.750 0.250 Ru
```

Summary:
Energy relative to the elements ... 0.69 eV per atom
Density of states at the Fermi level ... 22.49 states/eV per cell

Material: Ce2HoErSe5
Method: DFT, PBE
State: optimized geometry

Cell and atoms, written as POSCAR:
```
Ce2HoErSe5
1.0
5.110 0.000 0.000
0.000 5.110 0.000
0.000 0.000 10.716
Ce Ho Er Se
2 1 1 5
Direct
0.000 0.000 0.199 Ce
0.000 0.000 0.801 Ce
0.500 0.500 0.500 Ho
0.500 0.500 0.000 Er
0.000 0.000 0.500 Se
0.000 0.500 0.000 Se
0.500 0.000 0.000 Se
0.500 0.500 0.255 Se
0.500 0.500 0.745 Se
```

Summary:
Formation energy without anion corrections ... -1307.1 meV/atom
Density of states at the Fermi level ... 19.16 states/eV per cell

Material: Nd2TlO6
Method: DFT, PBE
State: optimized geometry

Cell and atoms, written as POSCAR:
```
Nd2TlO6
1.0
5.630 -2.991 0.000
5.630 2.991 0.000
-0.491 0.000 3.844
Nd Tl O
2 1 6
Direct
0.169 0.169 0.189 Nd
0.831 0.831 0.811 Nd
0.500 0.500 0.500 Tl
0.094 0.592 0.315 O
0.255 0.745 0.000 O
0.408 0.906 0.685 O
0.592 0.094 0.315 O
0.745 0.255 0.000 O
0.906 0.408 0.685 O
```

Summary:
Formation energy without anion corrections ... -1791.6 meV/atom
Density of states at the Fermi level ... 1.73 states/eV per cell

Material: Pr4IrPtSe2
Method: DFT, PBE
State: optimized geometry

Cell and atoms, written as POSCAR:
```
Pr4IrPtSe2
1.0
7.217 0.000 0.000
0.000 4.173 0.000
-2.410 0.000 7.350
Pr Ir Pt Se
4 1 1 2
Direct
0.237 0.000 0.229 Pr
0.251 0.500 0.770 Pr
0.749 0.500 0.230 Pr
0.763 0.000 0.771 Pr
0.000 0.500 0.000 Ir
0.500 0.000 0.000 Pt
0.000 0.000 0.500 Se
0.500 0.500 0.500 Se
```

Summary:
Formation energy without anion corrections ... -1302.7 meV/atom
Density of states at the Fermi level ... 5.67 states/eV per cell

Material: Tm4Tc6O19
Method: DFT, PBE
State: optimized geometry

Cell and atoms, written as POSCAR:
```
Tm4Tc6O19
1.0
-4.453 4.453 4.453
4.453 -4.453 4.453
4.453 4.453 -4.453
Tm Tc O
4 6 19
Direct
0.000 0.000 0.709 Tm
0.000 0.709 0.000 Tm
0.291 0.291 0.291 Tm
0.709 0.000 0.000 Tm
0.135 0.635 0.500 Tc
0.365 0.500 0.865 Tc
0.500 0.135 0.635 Tc
0.500 0.865 0.365 Tc
0.635 0.500 0.135 Tc
0.865 0.365 0.500 Tc
0.000 0.000 0.000 O
0.000 0.315 0.315 O
0.000 0.685 0.685 O
0.055 0.304 0.686 O
0.249 0.945 0.631 O
0.304 0.686 0.055 O
0.314 0.618 0.369 O
0.315 0.000 0.315 O
0.315 0.315 0.000 O
0.369 0.314 0.618 O
0.382 0.696 0.751 O
0.618 0.369 0.314 O
0.631 0.249 0.945 O
0.685 0.000 0.685 O
0.685 0.685 0.000 O
0.686 0.055 0.304 O
0.696 0.751 0.382 O
0.751 0.382 0.696 O
0.945 0.631 0.249 O
```

Summary:
Formation energy without anion corrections ... -2117.9 meV/atom
Density of states at the Fermi level ... 7.61 states/eV per cell

Material: Nd8RhAu2
Method: DFT, PBE
State: optimized geometry

Cell and atoms, written as POSCAR:
```
Nd8RhAu2
1.0
9.010 -2.583 0.000
9.010 2.583 0.000
-1.168 0.000 6.974
Nd Rh Au
8 1 2
Direct
0.027 0.027 0.279 Nd
0.203 0.203 0.827 Nd
0.342 0.342 0.530 Nd
0.412 0.412 0.054 Nd
0.588 0.588 0.946 Nd
0.658 0.658 0.470 Nd
0.797 0.797 0.173 Nd
0.973 0.973 0.721 Nd
0.500 0.500 0.500 Rh
0.194 0.194 0.242 Au
0.806 0.806 0.758 Au
```

Summary:
Energy relative to the elements ... -0.40 eV per atom
E above lowest polymorph ... 0.00 eV/f.u.
Density of states at the Fermi level ... 11.15 states/eV per cell

Material: Nd4TmMg3
Method: DFT, PBE
State: optimized geometry

Cell and atoms, written as POSCAR:
```
Nd4TmMg3
1.0
3.853 0.000 0.000
0.000 5.595 0.000
0.000 0.000 11.238
Nd Tm Mg
4 1 3
Direct
0.000 0.000 0.000 Nd
0.000 0.000 0.500 Nd
0.000 0.500 0.241 Nd
0.000 0.500 0.759 Nd
0.500 0.500 0.500 Tm
0.500 0.000 0.250 Mg
0.500 0.000 0.750 Mg
0.500 0.500 0.000 Mg
```

Summary:
Energy relative to the elements ... -0.05 eV per atom
Density of states at the Fermi level ... 10.17 states/eV per cell

Material: TcAs2Se
Method: DFT, PBE
State: optimized geometry

Cell and atoms, written as POSCAR:
```
TcAs2Se
1.0
3.171 0.000 0.000
-1.585 2.746 0.000
0.000 0.000 25.096
Tc As Se
3 6 3
Direct
0.000 0.000 0.000 Tc
0.333 0.667 0.667 Tc
0.667 0.333 0.333 Tc
0.000 0.000 0.263 As
0.000 0.000 0.737 As
0.333 0.667 0.404 As
0.333 0.667 0.930 As
0.667 0.333 0.070 As
0.667 0.333 0.596 As
0.000 0.000 0.500 Se
0.333 0.667 0.167 Se
0.667 0.333 0.833 Se
```

Summary:
Formation energy without anion corrections ... 71.6 meV/atom
E above lowest polymorph ... 0.41 eV/f.u.
Density of states at the Fermi level ... 6.02 states/eV per cell

| no. | total moment (μB per atom) |
| --- | --- |
| 1 | 0.00 |
| 2 | 0.00 |
| 3 | 0.00 |
| 4 | 0.00 |
| 5 | 0.00 |
| 6 | 0.00 |
| 7 | 0.88 |
| 8 | 0.00 |
| 9 | 0.33 |
| 10 | 0.14 |
| 11 | 0.00 |
| 12 | 0.00 |
| 13 | 0.00 |
| 14 | 0.07 |
| 15 | 0.01 |
| 16 | 0.37 |
| 17 | 0.10 |
| 18 | 0.00 |
| 19 | 0.00 |
| 20 | 0.00 |
| 21 | 0.00 |
| 22 | 0.00 |